Entry from Alexandria via LeMat-Bulk: crystalline LiCaPr2Te4 at its relaxed geometry (GGA-PBE).

a = 7.727 Å, b = 4.477 Å, c = 7.803 Å
α = 90.00°, β = 109.29°, γ = 90.00°
Element x y z (fractional)
Li 0.000 0.000 0.000
Ca 0.500 0.500 0.000
Pr 0.000 0.500 0.500
Pr 0.500 0.000 0.500
Te 0.242 0.500 0.239
Te 0.248 0.000 0.760
Te 0.752 0.000 0.240
Te 0.758 0.500 0.761

Output
Fermi-level density of states in states/eV/f.u.: 2.6
Space group: No. 10
Formation energy from raw total energies in eV/atom: -1.4214
Calculated total energy in eV per atom: -4.68
ρ in kg/m3: 5470


Entry from Alexandria via LeMat-Bulk: crystalline KSe2N2 at its relaxed geometry (GGA-PBE).

a = 6.507 Å, b = 6.507 Å, c = 5.850 Å
α = 90.00°, β = 90.00°, γ = 90.00°
Element x y z (fractional)
K 0.000 0.000 0.000
Se 0.000 0.500 0.000
Se 0.500 0.000 0.000
N 0.000 0.000 0.500
N 0.500 0.500 0.500

Output
Fermi-level density of states in states/eV/f.u.: 6.5
Distance to the lowest polymorph of the same formula in eV per atom: 2.0152
Space group: No. 123
Formation energy from raw total energies in eV/atom: 2.4003
Calculated total energy in eV per atom: -2.54
ρ in kg/m3: 1509


Entry from Alexandria via LeMat-Bulk: crystalline AcLaPr2Tm5 at its relaxed geometry (GGA-PBE).

a = 10.073 Å, b = 10.073 Å, c = 10.073 Å
α = 128.26°, β = 128.26°, γ = 76.21°
Element x y z (fractional)
Ac 0.250 0.250 0.000
Ac 0.750 0.750 0.000
La 0.250 0.750 0.500
La 0.750 0.250 0.500
Pr 0.118 0.618 0.736
Pr 0.382 0.118 0.500
Pr 0.618 0.882 0.500
Pr 0.882 0.382 0.264
Tm 0.000 0.000 0.000
Tm 0.075 0.160 0.500
Tm 0.160 0.660 0.086
Tm 0.340 0.425 0.500
Tm 0.425 0.925 0.086
Tm 0.500 0.500 0.000
Tm 0.575 0.075 0.914
Tm 0.660 0.575 0.500
Tm 0.840 0.340 0.914
Tm 0.925 0.840 0.500

Output
Fermi-level density of states in states/eV/f.u.: 8.8
Space group: No. 140
Energy of formation from the pure elements in meV per atom: 237
Calculated total energy in eV per atom: -4.31
ρ in kg/m3: 8091


Entry from Alexandria via LeMat-Bulk: crystalline CuH2F at its relaxed geometry (GGA-PBE).

a = 4.966 Å, b = 4.966 Å, c = 4.966 Å
α = 132.46°, β = 132.46°, γ = 69.50°
Element x y z (fractional)
Cu 0.000 0.000 0.000
Cu 0.750 0.250 0.500
H 0.075 0.625 0.950
H 0.375 0.325 0.450
H 0.675 0.125 0.050
H 0.875 0.925 0.550
F 0.250 0.750 0.500
F 0.500 0.500 0.000

Output
Fermi-level density of states in states/eV/f.u.: 0.7
Distance to the lowest polymorph of the same formula in eV per atom: 0.0000
Space group: No. 122
Calculated total energy in eV per atom: -3.08
ρ in kg/m3: 4295